(1)
# GGA-PBE Tm5TlNi4, relaxed
# ΔE_f: -416 meV/atom
data_Tm5TlNi4
_symmetry_space_group_name_H-M 'P 4/m m m'
_symmetry_Int_Tables_number 123
_symmetry_space_group_name_Hall '-P 4 2'
_cell_length_a 3.3886
_cell_length_b 3.3886
_cell_length_c 17.4177
_cell_angle_alpha 90.00
_cell_angle_beta 90.00
_cell_angle_gamma 90.00
loop_
_atom_site_label
_atom_site_type_symbol
_atom_site_fract_x
_atom_site_fract_y
_atom_site_fract_z
_atom_site_occupancy
Tm1 Tm 0.0000 0.0000 0.0000 1
Tm2 Tm 0.0000 0.0000 0.1876 1
Tm3 Tm 0.0000 0.0000 0.3732 1
Tl1 Tl 0.5000 0.5000 0.5000 1
Ni1 Ni 0.5000 0.5000 0.0929 1
Ni2 Ni 0.5000 0.5000 0.2820 1

(2)
# GGA-PBE Ta2Ti3Pd2, relaxed
# ΔE_f: -101 meV/atom
data_Ta2Ti3Pd2
_symmetry_space_group_name_H-M 'C m m m'
_symmetry_Int_Tables_number 65
_symmetry_space_group_name_Hall '-C 2 2'
_cell_length_a 4.1517
_cell_length_b 20.2865
_cell_length_c 2.8134
_cell_angle_alpha 90.00
_cell_angle_beta 90.00
_cell_angle_gamma 90.00
loop_
_atom_site_label
_atom_site_type_symbol
_atom_site_fract_x
_atom_site_fract_y
_atom_site_fract_z
_atom_site_occupancy
Ta1 Ta 0.0000 0.2099 0.0000 1
Ti1 Ti 0.0000 0.3603 0.5000 1
Ti2 Ti 0.0000 0.5000 0.5000 1
Pd1 Pd 0.0000 0.0695 0.0000 1

(3)
# GGA-PBE CsUTlTe3, relaxed
# E_form (uncorrected): -0.700 eV/atom
data_CsUTlTe3
_symmetry_space_group_name_H-M 'P 1 21/m 1'
_symmetry_Int_Tables_number 11
_cell_length_a 10.3411
_cell_length_b 4.5406
_cell_length_c 11.0441
_cell_angle_alpha 90.00
_cell_angle_beta 100.22
_cell_angle_gamma 90.00
loop_
_symmetry_equiv_pos_as_xyz
'x,y,z'
'-x,-y,-z'
'-x,y+1/2,-z'
'x,-y+1/2,z'
loop_
_atom_site_label
_atom_site_type_symbol
_atom_site_fract_x
_atom_site_fract_y
_atom_site_fract_z
_atom_site_occupancy
Cs1 Cs 0.1890 0.2500 0.2572 1
U1 U 0.3515 0.7500 0.8603 1
Tl1 Tl 0.1014 0.2500 0.5982 1
Te1 Te 0.1547 0.2500 0.8871 1
Te2 Te 0.3115 0.7500 0.5875 1
Te3 Te 0.4450 0.7500 0.1431 1

(4)
# GGA-PBE PmSeCl, relaxed
# E_form (uncorrected): -1.981 eV/atom
# E above lowest polymorph: 0.092 eV/atom
data_PmSeCl
_symmetry_space_group_name_H-M 'F -4 3 m'
_symmetry_Int_Tables_number 216
_symmetry_space_group_name_Hall 'F -4 2 3'
_cell_length_a 6.9166
_cell_length_b 6.9166
_cell_length_c 6.9166
_cell_angle_alpha 90.00
_cell_angle_beta 90.00
_cell_angle_gamma 90.00
loop_
_atom_site_label
_atom_site_type_symbol
_atom_site_fract_x
_atom_site_fract_y
_atom_site_fract_z
_atom_site_occupancy
Pm1 Pm 0.0000 0.0000 0.0000 1
Se1 Se 0.2500 0.2500 0.7500 1
Cl1 Cl 0.2500 0.2500 0.2500 1

(5)
# GGA-PBE BaMg5Pt2, relaxed
# ΔE_f: -591 meV/atom
data_BaMg5Pt2
_symmetry_space_group_name_H-M 'I m m m'
_symmetry_Int_Tables_number 71
_symmetry_space_group_name_Hall '-I 2 2'
_cell_length_a 4.3609
_cell_length_b 8.1994
_cell_length_c 10.7085
_cell_angle_alpha 90.00
_cell_angle_beta 90.00
_cell_angle_gamma 90.00
loop_
_atom_site_label
_atom_site_type_symbol
_atom_site_fract_x
_atom_site_fract_y
_atom_site_fract_z
_atom_site_occupancy
Ba1 Ba 0.0000 0.0000 0.0000 1
Mg1 Mg 0.0000 0.1837 0.3310 1
Mg2 Mg 0.0000 0.5000 0.0000 1
Pt1 Pt 0.0000 0.5000 0.2442 1

(6)
# GGA-PBE WAu, relaxed
# ΔE_f: 1000 meV/atom
# E above lowest polymorph: 0.750 eV/atom
data_WAu
_symmetry_space_group_name_H-M 'P 63/m m c'
_symmetry_Int_Tables_number 194
_symmetry_space_group_name_Hall '-P 6c 2c'
_cell_length_a 4.2545
_cell_length_b 4.2545
_cell_length_c 5.0178
_cell_angle_alpha 90.00
_cell_angle_beta 90.00
_cell_angle_gamma 120.00
loop_
_atom_site_label
_atom_site_type_symbol
_atom_site_fract_x
_atom_site_fract_y
_atom_site_fract_z
_atom_site_occupancy
W1 W 0.0000 0.0000 0.0000 1
Au1 Au 0.3333 0.6667 0.2500 1

(7)
# GGA-PBE CuTe2Br, relaxed
# E_form (uncorrected): -0.038 eV/atom
data_CuTe2Br
_symmetry_space_group_name_H-M 'R -3 m'
_symmetry_Int_Tables_number 166
_symmetry_space_group_name_Hall '-R 3 2"'
_cell_length_a 4.0782
_cell_length_b 4.0782
_cell_length_c 24.8337
_cell_angle_alpha 90.00
_cell_angle_beta 90.00
_cell_angle_gamma 120.00
loop_
_atom_site_label
_atom_site_type_symbol
_atom_site_fract_x
_atom_site_fract_y
_atom_site_fract_z
_atom_site_occupancy
Cu1 Cu 0.0000 0.0000 0.0000 1
Te1 Te 0.0000 0.0000 0.3862 1
Br1 Br 0.0000 0.0000 0.5000 1

(8)
# GGA-PBE HfFe4Si2, relaxed
# E_form (uncorrected): -0.486 eV/atom
data_HfFe4Si2
_symmetry_space_group_name_H-M 'P 42/m n m'
_symmetry_Int_Tables_number 136
_symmetry_space_group_name_Hall '-P 4n 2n'
_cell_length_a 6.8774
_cell_length_b 6.8774
_cell_length_c 3.7127
_cell_angle_alpha 90.00
_cell_angle_beta 90.00
_cell_angle_gamma 90.00
loop_
_atom_site_label
_atom_site_type_symbol
_atom_site_fract_x
_atom_site_fract_y
_atom_site_fract_z
_atom_site_occupancy
Hf1 Hf 0.0000 0.0000 0.0000 1
Fe1 Fe 0.0884 0.3505 0.5000 1
Si1 Si 0.2171 0.7829 0.5000 1

(9)
# GGA-PBE LiZr2CdC, relaxed
# ΔE_f: -169 meV/atom
data_LiZr2CdC
_symmetry_space_group_name_H-M 'P 4/m m m'
_symmetry_Int_Tables_number 123
_symmetry_space_group_name_Hall '-P 4 2'
_cell_length_a 4.5679
_cell_length_b 4.5679
_cell_length_c 4.2354
_cell_angle_alpha 90.00
_cell_angle_beta 90.00
_cell_angle_gamma 90.00
loop_
_atom_site_label
_atom_site_type_symbol
_atom_site_fract_x
_atom_site_fract_y
_atom_site_fract_z
_atom_site_occupancy
Li1 Li 0.0000 0.0000 0.0000 1
Zr1 Zr 0.0000 0.5000 0.5000 1
Cd1 Cd 0.5000 0.5000 0.0000 1
C1 C 0.0000 0.0000 0.5000 1

(10)
# GGA-PBE Pr3AuN2, relaxed
# E_form (uncorrected): -0.970 eV/atom
data_Pr3AuN2
_symmetry_space_group_name_H-M 'P m c 21'
_symmetry_Int_Tables_number 26
_cell_length_a 3.5561
_cell_length_b 11.5148
_cell_length_c 6.3243
_cell_angle_alpha 90.00
_cell_angle_beta 90.00
_cell_angle_gamma 90.00
loop_
_symmetry_equiv_pos_as_xyz
'x,y,z'
'-x,-y,z+1/2'
'-x,y,z'
'x,-y,z+1/2'
loop_
_atom_site_label
_atom_site_type_symbol
_atom_site_fract_x
_atom_site_fract_y
_atom_site_fract_z
_atom_site_occupancy
Pr1 Pr 0.0000 0.0861 0.0000 1
Pr2 Pr 0.5000 0.1776 0.5216 1
Pr3 Pr 0.5000 0.3837 0.9089 1
Au1 Au 0.0000 0.3768 0.3127 1
N1 N 0.0000 0.2598 0.7661 1
N2 N 0.5000 0.0024 0.2673 1

(11)
# GGA-PBE NaAl3Pt3, relaxed
# ΔE_f: -483 meV/atom
data_NaAl3Pt3
_symmetry_space_group_name_H-M 'P m -3 n'
_symmetry_Int_Tables_number 223
_symmetry_space_group_name_Hall '-P 4n 2 3'
_cell_length_a 6.8528
_cell_length_b 6.8528
_cell_length_c 6.8528
_cell_angle_alpha 90.00
_cell_angle_beta 90.00
_cell_angle_gamma 90.00
loop_
_atom_site_label
_atom_site_type_symbol
_atom_site_fract_x
_atom_site_fract_y
_atom_site_fract_z
_atom_site_occupancy
Na1 Na 0.0000 0.0000 0.0000 1
Al1 Al 0.0000 0.2500 0.5000 1
Pt1 Pt 0.0000 0.5000 0.2500 1

(12)
# GGA-PBE Dy8Ga2Au, relaxed
# ΔE_f: -347 meV/atom
data_Dy8Ga2Au
_symmetry_space_group_name_H-M 'C 1 2/m 1'
_symmetry_Int_Tables_number 12
_cell_length_a 18.5256
_cell_length_b 4.9784
_cell_length_c 6.6520
_cell_angle_alpha 90.00
_cell_angle_beta 101.76
_cell_angle_gamma 90.00
loop_
_symmetry_equiv_pos_as_xyz
'x,y,z'
'-x,-y,-z'
'-x,y,-z'
'x,-y,z'
'x+1/2,y+1/2,z'
'-x+1/2,-y+1/2,-z'
'-x+1/2,y+1/2,-z'
'x+1/2,-y+1/2,z'
loop_
_atom_site_label
_atom_site_type_symbol
_atom_site_fract_x
_atom_site_fract_y
_atom_site_fract_z
_atom_site_occupancy
Dy1 Dy 0.0251 0.0000 0.2706 1
Dy2 Dy 0.0922 0.5000 0.9626 1
Dy3 Dy 0.1578 0.5000 0.4784 1
Dy4 Dy 0.2084 0.0000 0.8193 1
Ga1 Ga 0.1886 0.0000 0.2568 1
Au1 Au 0.0000 0.5000 0.5000 1

Going through the records in order, we get total DFT energy (no corrections) values of -5.200; -8.355; -4.689; -5.342; -3.338; -7.116; -3.051; -8.293; -5.999; -6.681; -4.865; -4.542 eV/atom.
Going through the records in order, we get D(E_F) values of 0.902; 1.416; 1.181; 0.000; 0.460; 0.710; 0.536; 0.840; 0.780; 0.644; 0.340; 1.052 states/eV per atom.